Compound: MnBrN2F
Source: Alexandria
Functional: PBE with a Hubbard U
Structure: optimized geometry

Structure (POSCAR):
```
MnBrN2F
1.0
3.778 0.000 0.000
0.000 3.778 0.000
0.000 0.000 3.981
Mn Br N F
1 1 2 1
Direct
0.000 0.000 0.000
0.500 0.500 0.500
0.000 0.500 0.000
0.500 0.000 0.000
0.000 0.000 0.500
```

Values from the calculation:
DFT total energy: -4.48 eV per atom
Crystal system: tetragonal
Distance to the lowest polymorph of the same formula: 0 meV per atom